Entry 1:
Density functional theory data (GGA+U) for crystalline V4ZnP6O24 at its relaxed geometry.

Structure (extended XYZ):
```
35
Lattice="6.2359 0.0000 0.0000 -1.6558 8.1233 0.0000 -2.6058 -3.8069 8.2768" Properties=species:S:1:pos:R:3 pbc="T T T"
V -0.0607 1.6805 0.1973
V -0.9072 5.5872 5.0894
V 2.8815 -1.2708 3.1874
V 2.0350 2.6359 8.0795
Zn -2.1308 2.1582 4.1384
P -0.3539 -0.3984 2.7970
P -0.4429 4.4142 2.1122
P -1.0641 2.8282 6.9868
P 3.0384 1.4882 1.2900
P 2.4172 -0.0978 6.1646
P 2.3282 4.7148 5.4799
O -1.4590 5.0875 1.1681
O 0.0169 -0.2216 1.2599
O -1.1056 -2.3791 5.3532
O -0.6411 0.9404 3.3887
O -0.0579 3.0250 1.6430
O -1.0121 4.3092 3.5813
O -2.3458 2.8293 7.8989
O -1.1928 1.8029 5.8918
O 0.8574 -1.1515 3.4902
O 1.8221 1.7156 0.3283
O -0.8597 4.2422 6.3969
O 0.8301 5.3417 2.1658
O 1.1442 -1.0253 6.1111
O 2.8340 0.0742 1.8800
O 0.1522 2.6008 7.9485
O 1.1169 5.4679 4.7867
O 3.1671 2.5135 2.3850
O 4.3201 1.4870 0.3779
O 2.9864 0.0072 4.6956
O 2.0322 1.2913 6.6338
O 2.6154 3.3760 4.8882
O 3.0799 6.6955 2.9237
O 1.9574 4.5380 7.0170
O 3.4333 -0.7711 7.1087
```

Properties
total DFT energy (no corrections)	-7.273	eV/atom

=====

Entry 2:
Density functional theory data (GGA+U) for crystalline VZnPO2 at its relaxed geometry.

Structure (extended XYZ):
```
5
Lattice="3.8429 0.0000 0.0000 0.0000 3.8429 0.0000 0.0000 0.0000 4.7520" Properties=species:S:1:pos:R:3 pbc="T T T"
V 0.0000 0.0000 0.0000
Zn 1.9214 1.9214 2.3760
P 1.9214 1.9214 0.0000
O 0.0000 1.9214 2.3760
O 1.9214 0.0000 2.3760
```

Properties
relative energy among the computed polymorphs	1.030	eV per atom
total DFT energy (no corrections)	-4.599	eV/atom

=====

Entry 3:
Density functional theory data (GGA+U) for crystalline VZnPO2 at its relaxed geometry.

Structure (extended XYZ):
```
5
Lattice="3.6619 0.0000 0.0000 0.0000 3.6619 0.0000 0.0000 0.0000 5.1294" Properties=species:S:1:pos:R:3 pbc="T T T"
V 0.0000 0.0000 0.0000
Zn 1.8310 1.8310 2.5647
P 0.0000 0.0000 2.5647
O 0.0000 1.8310 0.0000
O 1.8310 0.0000 0.0000
```

Properties
relative energy among the computed polymorphs	0.000	eV per atom
total DFT energy (no corrections)	-5.629	eV/atom

=====

Entry 4:
Density functional theory data (GGA+U) for crystalline VZnP2O at its relaxed geometry.

Structure (extended XYZ):
```
5
Lattice="4.7474 0.0000 0.0000 0.0000 4.7474 0.0000 0.0000 0.0000 3.6051" Properties=species:S:1:pos:R:3 pbc="T T T"
V 0.0000 0.0000 0.0000
Zn 2.3737 2.3737 1.8025
P 0.0000 2.3737 0.0000
P 2.3737 0.0000 0.0000
O 0.0000 0.0000 1.8025
```

Properties
relative energy among the computed polymorphs	0.000	eV per atom
total DFT energy (no corrections)	-4.878	eV/atom

=====

Entry 5:
Density functional theory data (GGA+U) for crystalline V3ZnP3O13 at its relaxed geometry.

Structure (extended XYZ):
```
40
Lattice="7.7729 0.0000 0.0000 0.0000 6.4284 0.0000 -1.9002 0.0000 9.7622" Properties=species:S:1:pos:R:3 pbc="T T T"
V 0.0000 0.0000 0.0000
V 0.0000 3.2142 0.0000
V 0.5917 1.6071 5.6222
V 2.3880 4.8213 1.9387
V 3.4847 1.6071 7.8235
V 5.2810 4.8213 4.1400
Zn 1.3751 4.8213 7.8189
Zn 4.4977 1.6071 1.9433
P 0.7309 4.8213 4.9149
P 1.6492 1.6071 2.3687
P 0.8160 1.6071 8.8079
P 5.0567 4.8213 0.9543
P 4.2235 4.8213 7.3936
P 5.1419 1.6071 4.8473
O -0.6012 4.8213 4.1295
O 0.4616 1.6071 1.3635
O 0.7202 4.8213 0.9467
O -0.0302 0.3194 8.9164
O -0.0302 2.8948 8.9164
O 1.1080 1.6071 3.7859
O 0.8066 3.6347 5.9280
O 0.8066 6.0079 5.9280
O 1.8772 4.8213 3.9064
O 1.4635 1.6071 7.3740
O 2.5971 0.4038 2.0947
O 2.5971 2.8104 2.0947
O 3.7308 4.8213 0.1242
O 2.1420 1.6071 9.6381
O 3.2756 3.6180 7.6675
O 3.2756 6.0246 7.6675
O 4.4092 4.8213 2.3882
O 3.9956 1.6071 5.8558
O 5.0662 0.4205 3.8343
O 5.0662 2.7937 3.8343
O 4.7647 4.8213 5.9763
O 5.9030 3.5336 0.8458
O 5.9030 6.1090 0.8458
O 5.1525 1.6071 8.8155
O 5.4111 4.8213 8.3987
O 6.4739 1.6071 5.6327
```

Properties
total DFT energy (no corrections)	-7.298	eV/atom

=====

Entry 6:
Density functional theory data (GGA+U) for crystalline ZrVPO2 at its relaxed geometry.

Structure (extended XYZ):
```
5
Lattice="4.0398 0.0000 0.0000 0.0000 4.0398 0.0000 0.0000 0.0000 5.4920" Properties=species:S:1:pos:R:3 pbc="T T T"
Zr 0.0000 0.0000 0.0000
V 2.0199 2.0199 2.7460
P 0.0000 0.0000 2.7460
O 0.0000 2.0199 0.0000
O 2.0199 0.0000 0.0000
```

Properties
relative energy among the computed polymorphs	0.013	eV per atom
total DFT energy (no corrections)	-7.449	eV/atom

=====

Entry 7:
Density functional theory data (GGA+U) for crystalline ZrVPO2 at its relaxed geometry.

Structure (extended XYZ):
```
5
Lattice="3.7767 0.0000 0.0000 0.0000 3.7767 0.0000 0.0000 0.0000 5.0071" Properties=species:S:1:pos:R:3 pbc="T T T"
Zr 0.0000 0.0000 0.0000
V 1.8883 1.8883 2.5035
P 1.8883 1.8883 0.0000
O 0.0000 1.8883 2.5035
O 1.8883 0.0000 2.5035
```

Properties
relative energy among the computed polymorphs	0.000	eV per atom
total DFT energy (no corrections)	-7.462	eV/atom

=====

Entry 8:
Density functional theory data (GGA+U) for crystalline PWO3 at its relaxed geometry.

Structure (extended XYZ):
```
5
Lattice="3.9719 0.0000 0.0000 0.0000 3.9719 0.0000 0.0000 0.0000 3.9719" Properties=species:S:1:pos:R:3 pbc="T T T"
P 0.0000 0.0000 0.0000
W 1.9860 1.9860 1.9860
O 0.0000 1.9860 1.9860
O 1.9860 0.0000 1.9860
O 1.9860 1.9860 0.0000
```

Properties
total DFT energy (no corrections)	-6.164	eV/atom

=====

Entry 9:
Density functional theory data (GGA+U) for crystalline PWO2 at its relaxed geometry.

Structure (extended XYZ):
```
16
Lattice="-3.0916 3.0916 5.5151 3.0916 -3.0916 5.5151 3.0916 3.0916 -5.5151" Properties=species:S:1:pos:R:3 pbc="T T T"
P 0.0000 0.0000 0.0000
P 1.5458 1.5458 -2.7576
P 1.5458 -1.5458 2.7576
P 0.0000 3.0916 0.0000
W 3.0916 0.0000 0.0000
W -1.5458 1.5458 2.7576
W 0.0000 0.0000 5.5151
W 1.5458 1.5458 2.7576
O 1.8757 1.5458 -0.9607
O 4.3075 1.5458 -0.9607
O 0.0000 0.3299 1.7968
O 3.0916 0.3299 3.7183
O 0.0000 2.7617 1.7968
O 3.0916 2.7617 3.7183
O -1.2159 1.5458 6.4758
O 1.2159 1.5458 6.4758
```

Properties
total DFT energy (no corrections)	-5.910	eV/atom

=====

Entry 10:
Density functional theory data (GGA+U) for crystalline P2WO2 at its relaxed geometry.

Structure (extended XYZ):
```
5
Lattice="3.6653 0.0000 0.0000 0.0000 3.6653 0.0000 0.0000 0.0000 4.7678" Properties=species:S:1:pos:R:3 pbc="T T T"
P 0.0000 0.0000 0.0000
P 0.0000 0.0000 2.3839
W 1.8327 1.8327 0.0000
O 0.0000 1.8327 2.3839
O 1.8327 0.0000 2.3839
```

Properties
relative energy among the computed polymorphs	0.405	eV per atom
total DFT energy (no corrections)	-5.750	eV/atom

=====

Entry 11:
Density functional theory data (GGA+U) for crystalline P2WO2 at its relaxed geometry.

Structure (extended XYZ):
```
5
Lattice="3.6248 0.0000 0.0000 0.0000 3.6248 0.0000 0.0000 0.0000 5.0085" Properties=species:S:1:pos:R:3 pbc="T T T"
P 0.0000 1.8124 0.0000
P 1.8124 0.0000 0.0000
W 0.0000 0.0000 2.5042
O 1.8124 1.8124 0.0000
O 1.8124 1.8124 2.5042
```

Properties
relative energy among the computed polymorphs	1.045	eV per atom
total DFT energy (no corrections)	-5.110	eV/atom

=====

Entry 12:
Density functional theory data (GGA+U) for crystalline P2W2O9 at its relaxed geometry.

Structure (extended XYZ):
```
52
Lattice="14.7088 0.0000 0.0000 0.0000 6.5899 0.0000 0.0000 0.0000 7.8455" Properties=species:S:1:pos:R:3 pbc="T T T"
P 0.9310 1.6475 1.0876
P 2.7849 1.6475 4.6464
P 4.5695 4.9424 0.7237
P 6.4234 4.9424 5.0103
P 8.2854 1.6475 2.8351
P 10.1393 1.6475 7.1218
P 11.9239 4.9424 3.1990
P 13.7778 4.9424 6.7579
W 0.0000 0.0000 3.9227
W 0.0000 3.2949 3.9227
W 1.8889 4.9424 1.0942
W 5.4655 1.6475 5.0170
W 7.3544 0.0000 0.0000
W 7.3544 3.2949 0.0000
W 9.2433 4.9424 2.8285
W 12.8199 1.6475 6.7512
O 0.1377 4.9424 7.8383
O 0.2274 1.6475 2.5304
O 0.6715 4.9424 2.8740
O 1.7950 0.3927 1.0223
O 1.7950 2.9023 1.0223
O 1.8742 0.3912 4.6169
O 1.8742 2.9038 4.6169
O 3.4662 4.9424 7.4826
O 3.6632 1.6475 5.9625
O 3.6912 4.9424 2.0398
O 3.8882 1.6475 3.5599
O 5.4802 3.6861 0.6941
O 5.4802 6.1987 0.6941
O 5.5594 3.6876 4.9451
O 5.5594 6.1972 4.9451
O 6.6829 1.6475 6.7967
O 7.1270 4.9424 6.4531
O 7.2167 1.6475 3.9155
O 7.4921 4.9424 3.9299
O 7.5818 1.6475 1.3924
O 8.0259 4.9424 1.0488
O 9.1494 0.3927 2.9004
O 9.1494 2.9023 2.9004
O 9.2286 0.3912 7.1513
O 9.2286 2.9038 7.1513
O 10.8206 4.9424 4.2856
O 11.0176 1.6475 5.8057
O 11.0456 4.9424 1.8830
O 11.2425 1.6475 0.3628
O 12.8346 3.6861 3.2286
O 12.8346 6.1987 3.2286
O 12.9138 3.6876 6.8231
O 12.9138 6.1972 6.8231
O 14.0373 1.6475 4.9715
O 14.4814 4.9424 5.3151
O 14.5711 1.6475 0.0072
```

Properties
total DFT energy (no corrections)	-7.471	eV/atom

=====

Entry 13:
Density functional theory data (GGA+U) for crystalline P2WO7 at its relaxed geometry.

Structure (extended XYZ):
```
40
Lattice="8.4110 0.0000 0.0000 0.0000 8.4110 0.0000 0.0000 0.0000 8.4110" Properties=species:S:1:pos:R:3 pbc="T T T"
P 0.9174 0.9174 0.9174
P 0.9174 3.2881 5.1229
P 3.2881 5.1229 0.9174
P 3.2881 7.4936 5.1229
P 5.1229 0.9174 3.2881
P 5.1229 3.2881 7.4936
P 7.4936 5.1229 3.2881
P 7.4936 7.4936 7.4936
W 0.0000 0.0000 4.2055
W 0.0000 4.2055 0.0000
W 4.2055 0.0000 0.0000
W 4.2055 4.2055 4.2055
O 0.0000 0.0000 0.0000
O 0.0000 4.2055 4.2055
O 0.4588 1.8545 4.9462
O 0.4588 2.3510 0.7406
O 0.7406 0.4588 2.3510
O 0.7406 3.7467 6.5566
O 1.8545 4.9462 0.4588
O 1.8545 7.6704 4.6644
O 2.3510 0.7406 0.4588
O 2.3510 3.4649 4.6644
O 3.4649 4.6644 2.3510
O 3.4649 7.9522 6.5566
O 3.7467 6.0600 4.9462
O 3.7467 6.5566 0.7406
O 4.2055 0.0000 4.2055
O 4.2055 4.2055 0.0000
O 4.6644 1.8545 7.6704
O 4.6644 2.3510 3.4649
O 4.9462 0.4588 1.8545
O 4.9462 3.7467 6.0600
O 6.0600 4.9462 3.7467
O 6.0600 7.6704 7.9522
O 6.5566 0.7406 3.7467
O 6.5566 3.4649 7.9522
O 7.6704 4.6644 1.8545
O 7.6704 7.9522 6.0600
O 7.9522 6.0600 7.6704
O 7.9522 6.5566 3.4649
```

Properties
relative energy among the computed polymorphs	0.024	eV per atom
total DFT energy (no corrections)	-7.422	eV/atom

=====

Entry 14:
Density functional theory data (GGA+U) for crystalline P3WO at its relaxed geometry.

Structure (extended XYZ):
```
5
Lattice="4.1315 0.0000 0.0000 0.0000 4.1315 0.0000 0.0000 0.0000 4.1315" Properties=species:S:1:pos:R:3 pbc="T T T"
P 0.0000 0.0000 2.0658
P 0.0000 2.0658 0.0000
P 2.0658 0.0000 0.0000
W 2.0658 2.0658 2.0658
O 0.0000 0.0000 0.0000
```

Properties
relative energy among the computed polymorphs	0.000	eV per atom
total DFT energy (no corrections)	-5.087	eV/atom

=====

Entry 15:
Density functional theory data (GGA+U) for crystalline P2WO2 at its relaxed geometry.

Structure (extended XYZ):
```
5
Lattice="4.7652 0.0000 0.0000 0.0000 4.7652 0.0000 0.0000 0.0000 3.8000" Properties=species:S:1:pos:R:3 pbc="T T T"
P 0.0000 2.3826 0.0000
P 2.3826 0.0000 0.0000
W 0.0000 0.0000 0.0000
O 0.0000 0.0000 1.9000
O 2.3826 2.3826 1.9000
```

Properties
relative energy among the computed polymorphs	0.994	eV per atom
total DFT energy (no corrections)	-5.161	eV/atom

=====

Entry 16:
Density functional theory data (GGA+U) for crystalline P2WO7 at its relaxed geometry.

Structure (extended XYZ):
```
20
Lattice="6.5417 0.0000 0.0000 0.2524 6.5612 0.0000 3.2260 0.3348 6.4407" Properties=species:S:1:pos:R:3 pbc="T T T"
P 1.1875 2.4165 1.3476
P 4.9273 1.0831 5.4308
P 5.0928 5.8129 1.0099
P 8.8326 4.4794 5.0930
W 1.9112 5.6783 1.8939
W 8.1089 1.2177 4.5468
O 1.6767 1.2075 2.3399
O 1.9825 3.6621 1.7921
O 3.7525 4.3948 5.1446
O 3.6058 1.1956 4.6652
O 5.1447 2.3375 6.4039
O 5.2696 6.3968 6.3031
O 3.9419 5.7406 2.0243
O 6.0783 1.1553 4.4163
O 4.7505 0.4991 0.1376
O 4.8754 4.5585 0.0367
O 6.4143 5.7004 1.7755
O 6.2676 2.5011 1.2961
O 8.0377 3.2338 4.6486
O 8.3434 5.6885 4.1008
```

Properties
relative energy among the computed polymorphs	0.108	eV per atom
total DFT energy (no corrections)	-7.338	eV/atom